# ZnOsRh, relaxed, DFT GGA-PBE
data_ZnOsRh
_space_group_name_H-M_alt 'F m m 2'
_space_group_IT_number 42
_space_group_name_Hall 'F 2 -2'
_cell_length_a 2.731
_cell_length_b 4.669
_cell_length_c 13.577
_cell_angle_alpha 90.00
_cell_angle_beta 90.00
_cell_angle_gamma 90.00
loop_
_atom_site_label
_atom_site_type_symbol
_atom_site_fract_x
_atom_site_fract_y
_atom_site_fract_z
_atom_site_occupancy
Zn1 Zn 0.000 0.000 0.000 1
Os1 Os 0.000 0.000 0.669 1
Rh1 Rh 0.000 0.000 0.337 1
# Calculated formation energy ... 0.195 eV/atom
# ΔE to the lowest computed polymorph ... 186 meV/atom
# Density of states at the Fermi level ... 3.1 states/eV/f.u.
# Crystal system ... orthorhombic



# DyY3Tl4Se8, relaxed, DFT GGA-PBE
data_DyY3Tl4Se8
_space_group_name_H-M_alt 'R -3 m'
_space_group_IT_number 166
_space_group_name_Hall '-R 3 2"'
_cell_length_a 8.3784
_cell_length_b 8.3784
_cell_length_c 23.3109
_cell_angle_alpha 90.00
_cell_angle_beta 90.00
_cell_angle_gamma 120.00
loop_
_atom_site_label
_atom_site_type_symbol
_atom_site_fract_x
_atom_site_fract_y
_atom_site_fract_z
_atom_site_occupancy
Dy1 Dy 0.0000 0.0000 0.0000 1
Y1 Y 0.0000 0.5000 0.0000 1
Tl1 Tl 0.0000 0.0000 0.5000 1
Tl2 Tl 0.0000 0.5000 0.5000 1
Se1 Se 0.0000 0.0000 0.2651 1
Se2 Se 0.0005 0.5003 0.7348 1
# Formation energy from raw total energies ... -1394 meV per atom
# Crystal system ... trigonal



Number 1: total magnetic moment 0.00 μB per formula unit. Number 2: total magnetic moment 0.00 μB per formula unit.